# MnGe2Cl6

A geometry-optimized MnGe2Cl6 structure (PBE-GGA, Alexandria via LeMat-Bulk).

Calculated values
Formation energy from raw total energies, kJ/mol of formula units: -758

Lattice parameters (Å, degrees): 14.899 3.860 9.127 90.00 102.95 90.00
Space group C2/m (No. 12)
One atom of each set of equivalent atoms:
Mn 0.000 0.000 0.000 (multiplicity 2)
Ge 0.152 0.500 0.325 (multiplicity 4)
Cl 0.014 0.000 0.272 (multiplicity 4)
Cl 0.122 0.500 0.043 (multiplicity 4)
Cl 0.230 0.500 0.671 (multiplicity 4)